K2TiCdS4: optimized geometry, PBE.

Unit cell a=6.8781 b=6.8781 c=6.8781 alpha=118.20 beta=118.20 gamma=93.15
Sites, in units of the cell vectors:
K 0.0000 0.0000 0.0000
K 0.7500 0.2500 0.5000
Ti 0.5000 0.5000 0.0000
Cd 0.2500 0.7500 0.5000
S 0.2141 0.1517 0.6127
S 0.3986 0.7859 0.9376
S 0.5390 0.6014 0.3873
S 0.8483 0.4610 0.0624

Properties
Its symmetry is No. 82. The density of states at the Fermi level is 0.000 states/eV per atom. For the uncorrected formation energy, the calculation gives -1.14 eV per atom. As for the total energy: -4.58 eV per atom.

Tb5US6: optimized geometry, PBE.

Unit cell a=6.7845 b=6.7845 c=6.8015 alpha=99.68 beta=99.68 gamma=119.93
Sites, in units of the cell vectors:
Tb 0.0000 0.0000 0.0000
Tb 0.1677 0.8323 0.5000
Tb 0.3294 0.6706 0.0000
Tb 0.6706 0.3294 0.0000
Tb 0.8323 0.1677 0.5000
U 0.5000 0.5000 0.5000
S 0.0859 0.4168 0.2514
S 0.2516 0.2516 0.7517
S 0.4168 0.0859 0.2514
S 0.5833 0.9141 0.7486
S 0.7484 0.7484 0.2483
S 0.9141 0.5833 0.7486

Properties
Its symmetry is No. 12. The density of states at the Fermi level is 0.954 states/eV per atom. For the uncorrected formation energy, the calculation gives -1.89 eV per atom. As for the total energy: -6.82 eV per atom.

ScNi2GePb: optimized geometry, PBE.

Unit cell a=4.5533 b=4.5533 c=5.5833 alpha=90.00 beta=90.00 gamma=90.00
Sites, in units of the cell vectors:
Sc 0.0000 0.0000 0.0000
Ni 0.0000 0.5000 0.0000
Ni 0.5000 0.0000 0.0000
Ge 0.5000 0.5000 0.5000
Pb 0.0000 0.0000 0.5000

Properties
Its symmetry is No. 123. The density of states at the Fermi level is 0.562 states/eV per atom. As for the total energy: -4.32 eV per atom. As for the calculated formation energy: 925.4 meV/atom.

Li2H7Pt2: optimized geometry, PBE.

Unit cell a=4.5991 b=4.5991 c=4.5762 alpha=93.09 beta=93.09 gamma=74.40
Sites, in units of the cell vectors:
Li 0.2381 0.7619 0.0000
Li 0.7619 0.2381 0.0000
H 0.0000 0.0000 0.5000
H 0.0647 0.4968 0.2695
H 0.4433 0.4433 0.7400
H 0.4968 0.0647 0.2695
H 0.5032 0.9353 0.7306
H 0.5567 0.5567 0.2600
H 0.9353 0.5032 0.7306
Pt 0.2320 0.2320 0.6050
Pt 0.7680 0.7680 0.3950

Properties
Its symmetry is No. 12. The density of states at the Fermi level is 0.172 states/eV per atom. As for the total energy: -3.76 eV per atom.

Tb2NdNi: optimized geometry, PBE.

Unit cell a=9.2658 b=9.2658 c=9.2658 alpha=23.97 beta=23.97 gamma=23.97
Sites, in units of the cell vectors:
Tb 0.0000 0.0000 0.0000
Tb 0.2178 0.2178 0.2178
Nd 0.7734 0.7734 0.7734
Ni 0.6096 0.6096 0.6096

Properties
Its symmetry is No. 160. The density of states at the Fermi level is 1.158 states/eV per atom. Its energy above the most stable polymorph in this dataset is 0.105 eV per atom. As for the total energy: -5.06 eV per atom. As for the calculated formation energy: -110.2 meV/atom.

ZnAg2Ru: optimized geometry, PBE.

Unit cell a=4.9871 b=4.9871 c=4.9871 alpha=133.67 beta=133.67 gamma=67.61
Sites, in units of the cell vectors:
Zn 0.0000 0.0000 0.0000
Ag 0.2500 0.7500 0.5000
Ag 0.7500 0.2500 0.5000
Ru 0.5000 0.5000 0.0000

Properties
Its symmetry is No. 139. The density of states at the Fermi level is 0.829 states/eV per atom. As for the total energy: -3.72 eV per atom. As for the calculated formation energy: 343.8 meV/atom.

Cs2SnRhI6: optimized geometry, PBE.

Unit cell a=8.3503 b=8.3503 c=8.3503 alpha=120.09 beta=120.09 gamma=89.85
Sites, in units of the cell vectors:
Cs 0.2500 0.7500 0.5000
Cs 0.7500 0.2500 0.5000
Sn 0.0000 0.0000 0.0000
Rh 0.5000 0.5000 0.0000
I 0.2651 0.2651 0.0000
I 0.2651 0.2651 0.5302
I 0.2651 0.7349 0.0000
I 0.7349 0.2651 0.0000
I 0.7349 0.7349 0.0000
I 0.7349 0.7349 0.4698

Properties
Its symmetry is No. 139. The density of states at the Fermi level is 0.540 states/eV per atom. For the uncorrected formation energy, the calculation gives -0.77 eV per atom. As for the total energy: -3.01 eV per atom.

KTeF6: optimized geometry, PBE.

Unit cell a=6.2245 b=6.2245 c=6.2245 alpha=53.92 beta=53.92 gamma=53.92
Sites, in units of the cell vectors:
K 0.0000 0.0000 0.0000
Te 0.5000 0.5000 0.5000
F 0.0997 0.5905 0.5905
F 0.4095 0.4095 0.9003
F 0.4095 0.9003 0.4095
F 0.5905 0.0997 0.5905
F 0.5905 0.5905 0.0997
F 0.9003 0.4095 0.4095

Properties
Its symmetry is No. 166. The density of states at the Fermi level is 0.406 states/eV per atom. Its energy above the most stable polymorph in this dataset is 0.035 eV per atom. For the uncorrected formation energy, the calculation gives -2.23 eV per atom. As for the total energy: -4.16 eV per atom.